## w
Here is a relaxed structure of Be3VO from the Alexandria database. Energies are from GGA+U.

Cell: 3.6670 3.6670 3.6670 Å, 90.00 90.00 90.00°
Fractional positions:
Be 0.0000 0.0000 0.5000
Be 0.0000 0.5000 0.0000
Be 0.5000 0.0000 0.0000
V 0.5000 0.5000 0.5000
O 0.0000 0.0000 0.0000

Computed properties:
SG: Pm-3m, No. 221
ρ in g/cm³: 3.2


## x
Here is a relaxed structure of Be3VO from the Alexandria database. Energies are from GGA+U.

Cell: 4.4361 4.4361 4.4361 Å, 90.00 90.00 90.00°
Fractional positions:
Be 0.0000 0.0000 0.5000
Be 0.0000 0.5000 0.0000
Be 0.5000 0.0000 0.0000
V 0.0000 0.0000 0.0000
O 0.5000 0.5000 0.5000

Computed properties:
SG: Pm-3m, No. 221
ρ in g/cm³: 1.8


Which structure wins on stability? w wins.


## w
Here is a relaxed structure of BeV2O from the Alexandria database. Energies are from GGA+U.

Cell: 5.3498 5.3498 5.3498 Å, 114.26 114.26 100.27°
Fractional positions:
Be 0.0000 0.0000 0.0000
Be 0.7500 0.2500 0.5000
V 0.1912 0.1250 0.5662
V 0.3750 0.8088 0.9338
V 0.5588 0.6250 0.4338
V 0.8750 0.4412 0.0662
O 0.2500 0.7500 0.5000
O 0.5000 0.5000 0.0000

Computed properties:
SG: I-42d, No. 122
ρ in g/cm³: 3.6


## x
Here is a relaxed structure of BeV2O from the Alexandria database. Energies are from GGA+U.

Cell: 3.9349 3.9349 3.9349 Å, 60.00 60.00 60.00°
Fractional positions:
Be 0.0000 0.0000 0.0000
V 0.2500 0.2500 0.2500
V 0.7500 0.7500 0.7500
O 0.5000 0.5000 0.5000

Computed properties:
SG: Fm-3m, No. 225
ρ in g/cm³: 4.9


Which structure wins on stability? w wins.


## w
Here is a relaxed structure of BeW2O from the Alexandria database. Energies are from GGA+U.

Cell: 6.3779 6.3779 6.3779 Å, 133.84 133.84 67.33°
Fractional positions:
Be 0.0000 0.0000 0.0000
Be 0.7500 0.2500 0.5000
W 0.1690 0.6250 0.0440
W 0.3750 0.4190 0.5440
W 0.5810 0.1250 0.9560
W 0.8750 0.8310 0.4560
O 0.2500 0.7500 0.5000
O 0.5000 0.5000 0.0000

Computed properties:
SG: I-42d, No. 122
ρ in g/cm³: 9.8


## x
Here is a relaxed structure of BeW2O from the Alexandria database. Energies are from GGA+U.

Cell: 4.0813 4.0813 4.0813 Å, 60.00 60.00 60.00°
Fractional positions:
Be 0.0000 0.0000 0.0000
W 0.2500 0.2500 0.2500
W 0.7500 0.7500 0.7500
O 0.5000 0.5000 0.5000

Computed properties:
SG: Fm-3m, No. 225
ρ in g/cm³: 13.6


Which structure wins on stability? w wins.